No. 1
Here is crystalline Cs3CaB2S6 at its relaxed geometry from Alexandria via LeMat-Bulk. Energies are from PBE-GGA.

Calculated values
* SG: P-3m1
* calculated total energy: -54.80 eV/cell

The structure in CIF format:
```
data_Cs3CaB2S6
_cell_length_a 7.0867
_cell_length_b 7.0867
_cell_length_c 9.1663
_cell_angle_alpha 90.00
_cell_angle_beta 90.00
_cell_angle_gamma 120.00
_space_group_name_H-M_alt 'P 1'
_space_group_IT_number 1
_space_group_name_Hall 'P 1'
loop_
_atom_site_label
_atom_site_type_symbol
_atom_site_fract_x
_atom_site_fract_y
_atom_site_fract_z
_atom_site_occupancy
S1 S 0.1849 0.8151 0.3032 1
S2 S 0.6302 0.8151 0.3032 1
S3 S 0.8151 0.1849 0.6968 1
Cs1 Cs 0.3333 0.6667 0.6812 1
B1 B 0.6667 0.3333 0.6934 1
Cs2 Cs 0.6667 0.3333 0.3188 1
Cs3 Cs 0.0000 0.0000 0.0000 1
Ca1 Ca 0.0000 0.0000 0.5000 1
S4 S 0.8151 0.6302 0.6968 1
B2 B 0.3333 0.6667 0.3066 1
S5 S 0.3698 0.1849 0.6968 1
S6 S 0.1849 0.3698 0.3032 1
```

No. 2
Here is crystalline CsCaBS2 at its relaxed geometry from Alexandria via LeMat-Bulk. Energies are from PBE-GGA.

Calculated values
* SG: P4/mmm
* calculated total energy: -16.50 eV/cell

The structure in CIF format:
```
data_CsCaBS2
_cell_length_a 4.8870
_cell_length_b 4.6771
_cell_length_c 4.8870
_cell_angle_alpha 90.00
_cell_angle_beta 90.00
_cell_angle_gamma 90.00
_space_group_name_H-M_alt 'P 1'
_space_group_IT_number 1
_space_group_name_Hall 'P 1'
loop_
_atom_site_label
_atom_site_type_symbol
_atom_site_fract_x
_atom_site_fract_y
_atom_site_fract_z
_atom_site_occupancy
Cs1 Cs 0.0000 0.5000 0.0000 1
S1 S 0.0000 0.0000 0.5000 1
S2 S 0.5000 0.0000 0.0000 1
Ca1 Ca 0.5000 0.5000 0.5000 1
B1 B 0.0000 0.0000 0.0000 1
```

No. 3
Here is crystalline CsCaB2Sb at its relaxed geometry from Alexandria via LeMat-Bulk. Energies are from PBE-GGA.

Calculated values
* SG: P4/mmm
* calculated total energy: -9.56 eV/cell

The structure in CIF format:
```
data_CsCaB2Sb
_cell_length_a 4.9638
_cell_length_b 6.0875
_cell_length_c 4.9638
_cell_angle_alpha 90.00
_cell_angle_beta 90.00
_cell_angle_gamma 90.00
_space_group_name_H-M_alt 'P 1'
_space_group_IT_number 1
_space_group_name_Hall 'P 1'
loop_
_atom_site_label
_atom_site_type_symbol
_atom_site_fract_x
_atom_site_fract_y
_atom_site_fract_z
_atom_site_occupancy
B1 B 0.0000 0.0000 0.5000 1
Cs1 Cs 0.0000 0.0000 0.0000 1
Ca1 Ca 0.0000 0.5000 0.0000 1
Sb1 Sb 0.5000 0.5000 0.5000 1
B2 B 0.5000 0.0000 0.0000 1
```

Number 1: formation energy (no corrections) -1010 meV/atom. Number 2: formation energy (no corrections) 257 meV/atom. Number 3: formation energy (no corrections) 2154 meV/atom.